## w
Computed, not measured: a PBEsol-optimized structure of Cd2AsBr at the SCAN level of DFT.

Calculated values
magnetic moment: 0.0 μB/f.u.

a b c (Å): 4.9928 4.9928 4.9928
angles (deg): 60.00 60.00 60.00
With the nearest neighbours (Å) after each atom.
Fractional positions:
As: 0.5000 0.5000 0.5000  4 Cd 3.06, 4 Br 3.06
Br: 0.2500 0.2500 0.2500  4 As 3.06, 4 Cd 3.06
Cd: 0.0000 0.0000 0.0000  4 Br 3.06, 4 Cd 3.06
Cd: 0.7500 0.7500 0.7500  4 Cd 3.06, 4 As 3.06

## x
Computed, not measured: a PBEsol-optimized structure of Cd2AsBr at the SCAN level of DFT.

Calculated values
magnetic moment: 0.0 μB/f.u.

a b c (Å): 6.1395 6.1395 7.7644
angles (deg): 113.29 113.29 90.00
With the nearest neighbours (Å) after each atom.
Fractional positions:
As: 0.7500 0.2500 0.5000  4 Cd 2.54
As: 0.5000 0.5000 0.0000  4 Cd 2.54
Br: 0.2500 0.7500 0.5000  4 Cd 2.88
Br: 0.0000 0.0000 0.0000  4 Cd 2.88
Cd: 0.4239 0.8750 0.2500  2 As 2.54
Cd: 0.8261 0.3750 0.2500  2 As 2.54
Cd: 0.1250 0.1739 0.7500  2 As 2.54
Cd: 0.6250 0.5761 0.7500  2 As 2.54

## y
Computed, not measured: a PBEsol-optimized structure of Cd2AsBr at the SCAN level of DFT.

Calculated values
magnetic moment: 0.0 μB/f.u.

a b c (Å): 3.1180 5.5704 6.0561
angles (deg): 117.38 104.92 90.00
With the nearest neighbours (Å) after each atom.
Fractional positions:
As: 0.5227 0.5227 0.0454  2 Cd 2.81, 2 As 3.12
Br: 0.7340 0.2340 0.4680  6 Cd 2.93-3.20, 2 Br 3.12
Cd: 0.9934 0.9934 0.9867  2 Br 2.93, 4 Cd 2.95-3.12, 4 As 3.21
Cd: 0.2500 0.7500 0.4999  2 As 2.81, 4 Cd 2.95-3.12

How do the structures above rank in stability at the extremes? x comes first and w comes last.